Record 1
HPd3Au: relaxed, GGA-PBE.

```
HPd3Au
1.0
-2.462 2.996 -2.390
-2.051 -3.511 2.053
-0.980 4.360 6.477
Pd H Au
6 2 2
Cartesian
-0.735 3.270 4.858
-3.225 4.828 5.034
-2.598 0.479 3.276
-2.896 3.367 2.864
-2.269 -0.982 1.106
-0.245 1.090 1.619
0.000 0.000 0.000
-0.490 2.180 3.238
-2.923 1.928 5.430
-2.570 1.917 0.710
```

**Spin magnetization**: 0.000 Bohr magnetons per cell
**Space-group type**: P6_3/mmc (194)
**Distance to the lowest polymorph of the same formula**: 0.2752 eV per atom
**V**: 14.1 Å³/atom
**Density of states at the Fermi level**: 8.8 states/eV/cell



Record 2
H3Pd5Au: relaxed, GGA-PBE.

```
H3Pd5Au
1.0
-4.264 3.333 2.065
-0.988 -0.058 5.707
1.989 6.911 4.645
H Pd Au
6 10 2
Cartesian
-2.758 3.814 6.031
-1.944 8.060 9.251
0.994 3.455 2.322
-1.320 2.126 3.166
-0.505 6.373 6.386
0.000 0.000 0.000
-3.364 2.401 3.066
-1.493 3.703 4.790
-3.677 5.393 5.788
-1.888 0.874 4.706
-1.264 0.794 1.876
0.414 4.793 6.629
-1.294 6.561 4.731
-1.770 6.484 7.627
-1.970 3.626 7.686
-1.999 9.393 10.541
0.870 4.946 3.822
-4.133 5.241 8.595
```

**Spin magnetization**: 0.000 Bohr magnetons per cell
**Space-group type**: C2/m (12)
**V**: 11.6 Å³/atom
**Density of states at the Fermi level**: 6.7 states/eV/cell
**DFT total energy**: -4.425 eV/atom



Record 3
H2Pd4Au: relaxed, GGA-PBE.

```
H2Pd4Au
1.0
-4.598 0.670 -3.185
0.213 -1.820 5.325
2.578 6.415 2.985
H Pd Au
4 8 2
Cartesian
-0.502 4.022 1.865
-3.112 2.896 -1.553
-2.849 0.238 -0.165
1.100 5.276 5.214
-2.280 1.994 -0.242
-2.558 0.429 2.091
-0.023 -0.392 3.153
-2.185 4.337 1.311
-0.327 2.180 1.880
0.330 4.209 6.424
-0.123 4.511 3.535
-2.381 2.803 3.755
2.186 6.266 3.220
0.165 1.919 4.747
```

**Spin magnetization**: 0.000 Bohr magnetons per cell
**Space-group type**: P1 (1)
**Distance to the lowest polymorph of the same formula**: 0.0000 eV per atom
**V**: 12.3 Å³/atom
**Density of states at the Fermi level**: 7.2 states/eV/cell



Record 4
H6Pd12Au: relaxed, GGA-PBE.

```
H6Pd12Au
1.0
6.523 -0.007 -0.009
-1.623 6.318 -0.009
-1.623 -2.091 5.962
H Au Pd
6 1 12
Cartesian
3.330 1.619 5.108
0.744 3.627 5.108
-0.053 -0.069 2.730
2.533 0.593 0.835
-0.053 2.601 0.835
3.330 4.289 3.212
0.000 0.000 0.000
-1.352 1.345 5.163
4.628 2.875 0.780
1.896 2.442 1.070
1.896 0.205 2.658
4.628 -0.212 2.971
3.548 2.332 3.284
1.638 5.197 0.780
1.638 -0.977 5.163
1.380 4.015 3.284
-0.271 1.888 2.658
-1.352 4.432 2.971
1.380 1.778 4.873
```

**Spin magnetization**: 0.000 Bohr magnetons per cell
**Space-group type**: R-3m (166)
**V**: 12.9 Å³/atom
**Density of states at the Fermi level**: 14.1 states/eV/cell
**DFT total energy**: -4.345 eV/atom



Record 5
H3Pd2Au: relaxed, GGA-PBE.

```
H3Pd2Au
1.0
3.024 0.000 0.000
-1.512 5.121 -0.280
0.000 -2.668 7.807
H Pd Au
6 4 2
Cartesian
0.000 2.647 1.937
0.000 -1.699 5.036
1.512 0.482 3.309
0.000 1.971 4.217
1.512 4.152 2.491
1.512 -0.194 5.589
1.512 -2.033 5.976
0.000 0.127 4.458
0.000 4.486 1.551
1.512 2.326 3.068
0.000 1.430 0.484
1.512 1.023 7.043
```

**Spin magnetization**: 0.000 Bohr magnetons per cell
**Space-group type**: C2/m (12)
**V**: 9.9 Å³/atom
**Density of states at the Fermi level**: 1.9 states/eV/cell
**DFT total energy**: -3.977 eV/atom



Record 6
H3Pd6Au: relaxed, GGA-PBE.

```
H3Pd6Au
1.0
4.633 1.224 -1.571
-2.272 4.440 -0.555
0.855 0.044 4.915
Pd H Au
6 3 1
Cartesian
1.733 2.464 0.217
3.180 3.457 2.460
4.271 1.655 -1.043
0.770 4.262 3.722
1.168 1.472 2.864
-0.730 3.263 1.393
1.243 0.933 1.101
3.090 3.024 -0.864
-0.046 2.821 3.032
1.403 5.193 1.068
```

**Spin magnetization**: 0.000 Bohr magnetons per cell
**Space-group type**: P1 (1)
**Distance to the lowest polymorph of the same formula**: 0.0000 eV per atom
**V**: 12.0 Å³/atom
**Density of states at the Fermi level**: 4.1 states/eV/cell



Record 7
HPd3Au: relaxed, GGA-PBE.

```
HPd3Au
1.0
5.006 -0.003 0.021
0.006 5.733 -0.013
-0.831 1.446 4.709
H Pd Au
2 6 2
Cartesian
2.832 2.958 1.561
2.836 5.825 1.554
4.510 5.825 0.912
1.923 4.392 0.888
2.805 5.833 3.344
2.802 2.966 3.350
4.506 2.958 0.918
1.919 1.525 0.895
0.291 1.534 3.265
0.295 4.400 3.258
```

**Spin magnetization**: 0.000 Bohr magnetons per cell
**Space-group type**: Cm (8)
**Distance to the lowest polymorph of the same formula**: 0.0030 eV per atom
**V**: 13.5 Å³/atom
**Density of states at the Fermi level**: 4.1 states/eV/cell



Record 8
HPd3Au: relaxed, GGA-PBE.

```
HPd3Au
1.0
-4.264 2.820 2.515
0.897 -4.013 2.783
3.266 2.051 3.231
Pd H Au
6 2 2
Cartesian
0.352 2.928 4.517
2.517 1.484 3.222
-0.021 -1.620 2.508
-0.156 1.221 2.303
-1.616 1.433 6.020
-2.141 -0.271 3.788
-0.255 -3.040 3.617
-0.425 2.619 6.567
-2.312 2.624 3.519
0.552 0.061 4.772
```

**Spin magnetization**: 0.000 Bohr magnetons per cell
**Space-group type**: P1 (1)
**Distance to the lowest polymorph of the same formula**: 0.0095 eV per atom
**V**: 13.5 Å³/atom
**Density of states at the Fermi level**: 3.9 states/eV/cell



Record 9
PmHPd2Au: relaxed, GGA-PBE.

```
PmHPd2Au
1.0
4.174 0.000 0.000
0.000 4.174 0.000
0.000 0.000 4.633
Pd Au H Pm
2 1 1 1
Cartesian
2.087 4.173 0.001
0.000 2.087 0.001
2.087 2.087 2.308
0.000 0.000 0.003
0.000 4.174 2.321
```

**Spin magnetization**: 0.000 Bohr magnetons per cell
**Space-group type**: P4mm (99)
**V**: 16.1 Å³/atom
**Density of states at the Fermi level**: 1.6 states/eV/cell
**DFT total energy**: -4.871 eV/atom



Record 10
Pm2HPd6Au: relaxed, GGA-PBE.

```
Pm2HPd6Au
1.0
-0.195 -5.254 -1.951
1.425 -2.443 6.653
-3.955 -3.399 2.063
H Pd Au Pm
1 6 1 2
Cartesian
0.615 -3.848 2.351
0.261 -2.304 1.305
-1.329 -6.997 4.024
-2.986 -8.791 5.459
-1.396 -4.098 2.740
0.696 -2.641 4.024
-3.421 -8.454 2.740
0.000 0.000 0.000
-2.131 -6.306 0.917
-0.594 -4.790 5.847
```

**Spin magnetization**: 0.000 Bohr magnetons per cell
**Space-group type**: C2/m (12)
**V**: 17.9 Å³/atom
**Density of states at the Fermi level**: 3.2 states/eV/cell
**DFT total energy**: -5.320 eV/atom



Record 11
PrHPd2Au2: relaxed, GGA-PBE.

```
PrHPd2Au2
1.0
-1.595 1.949 -3.013
2.614 -1.628 -2.437
-5.062 -5.706 1.547
H Au Pr Pd
1 2 1 2
Cartesian
0.000 0.000 0.000
-3.074 -1.798 -2.096
-0.969 -3.587 -1.808
0.509 0.161 -2.725
-3.012 -4.129 -3.636
-1.031 -1.256 -0.267
```

**Spin magnetization**: 0.000 Bohr magnetons per cell
**Space-group type**: I4/mmm (139)
**V**: 18.7 Å³/atom
**Density of states at the Fermi level**: 3.1 states/eV/cell
**DFT total energy**: -4.535 eV/atom



Record 12
PrH6Pd4Au: relaxed, GGA-PBE.

```
PrH6Pd4Au
1.0
4.804 0.000 0.000
-2.402 4.160 0.000
0.000 0.000 6.760
H Pd Au Pr
6 4 1 1
Cartesian
1.201 2.080 4.375
-1.201 2.080 2.385
1.201 2.080 2.385
-1.201 2.080 4.375
2.402 0.000 2.385
2.402 0.000 4.375
2.402 1.387 1.348
2.402 1.387 5.412
0.000 2.774 5.412
0.000 2.774 1.348
0.000 0.000 0.000
0.000 0.000 3.380
```

**Spin magnetization**: 0.000 Bohr magnetons per cell
**Space-group type**: P6/mmm (191)
**V**: 11.3 Å³/atom
**Density of states at the Fermi level**: 4.8 states/eV/cell
**DFT total energy**: -4.336 eV/atom



Q: What is the formula in the third record?
A: H2Pd4Au



Q: Which value of density of states at the Fermi level does entry 12 give?
A: 4.8 states/eV/cell



Q: The lowest density of states at the Fermi level belongs to which entry?
A: PmHPd2Au



Q: Which of these has the lowest V?
A: H3Pd2Au